This record from Alexandria via LeMat-Bulk describes a relaxed LiCdSbO4 crystal. The functional is PBE.

## Properties
**Electronic total energy**: -5.22 eV/atom
**Crystal system**: orthorhombic
**Energy relative to the elements, uncorrected**: -1.39 eV per atom

a b c (Å): 6.181 9.474 6.648
angles (deg): 90.00 90.00 90.00
Space group Cmcm (No. 63)
One atom of each set of equivalent atoms:
Li1 0.000 0.157 0.250 [4 per cell]
Cd1 0.000 0.500 0.000 [4 per cell]
Sb1 0.000 0.148 0.750 [4 per cell]
O1 0.000 0.256 0.510 [8 per cell]
O2 0.230 0.009 0.750 [8 per cell]

This record from Alexandria via LeMat-Bulk describes a relaxed LiCdSeO4 crystal. The functional is PBE.

## Properties
**Electronic total energy**: -4.73 eV/atom
**Crystal system**: orthorhombic
**Energy relative to the elements, uncorrected**: -0.99 eV per atom

a b c (Å): 6.549 6.699 8.267
angles (deg): 90.00 90.00 90.00
Space group Imma (No. 74)
One atom of each set of equivalent atoms:
Li1 0.250 0.250 0.250 [4 per cell]
Cd1 0.000 0.000 0.000 [4 per cell]
Se1 0.000 0.250 0.589 [4 per cell]
O1 0.000 0.043 0.710 [8 per cell]
O2 0.235 0.250 0.015 [8 per cell]